! GGA-PBE Al2Cu3Si3, optimized geometry; values from VASP
! Size of the total moment = 0.00 μB/f.u.
! Formation energy (no corrections) = 194 meV/atom
! Calculated volume = 15.41 Å³ per atom
! VASP energy = -4.3115 eV/atom
&SYSTEM
  ibrav = 0, nat = 16, ntyp = 3
/
ATOMIC_SPECIES
Cu 63.55 Cu.upf
Al 26.98 Al.upf
Si 28.09 Si.upf
CELL_PARAMETERS angstrom
-5.195 4.736 -0.068
1.050 -3.988 5.694
3.594 3.973 2.120
ATOMIC_POSITIONS angstrom
Cu 0.887 4.627 1.568
Cu -1.438 0.093 6.178
Al 0.765 0.906 4.833
Si 1.399 3.213 3.350
Cu -0.542 1.253 2.485
Al -3.113 1.828 1.853
Al -1.316 3.814 2.913
Si 0.326 -1.515 6.201
Si -0.876 6.235 1.545
Cu -0.009 3.467 5.260
Si 3.416 0.238 5.505
Cu 3.060 1.592 3.572
Si -3.967 4.482 2.241
Si -1.950 1.507 4.396
Cu -3.610 3.128 4.173
Al -1.032 -1.080 3.773